# 1
Density functional theory data (GGA-PBE) for crystalline HoEr4Mg4 at its relaxed geometry.

Cell: 6.8819 6.8819 11.4001 Å, 90.00 90.00 90.00°
Fractional coordinates of all 18 atoms:
Er 0.2234 0.5000 0.9310
Mg 0.0000 0.7254 0.7216
Ho 0.5000 0.5000 0.5000
Er 0.7766 0.5000 0.9310
Er 0.5000 0.2234 0.0690
Mg 0.2746 0.0000 0.2784
Mg 0.7746 0.5000 0.2216
Er 0.5000 0.7766 0.0690
Mg 0.7254 0.0000 0.2784
Mg 0.5000 0.2254 0.7784
Er 0.2766 0.0000 0.5690
Ho 0.0000 0.0000 0.0000
Er 0.0000 0.7234 0.4310
Mg 0.0000 0.2746 0.7216
Mg 0.2254 0.5000 0.2216
Mg 0.5000 0.7746 0.7784
Er 0.7234 0.0000 0.5690
Er 0.0000 0.2766 0.4310

Summary:
Its total energy is -53.5 eV per cell. As for the density: 5.73 g/cm³. The calculation puts the formation energy at 0.27 eV per atom. As for the magnetic moment: 0.00 μB per formula unit.

=====

# 2
Density functional theory data (GGA-PBE) for crystalline LaPr2Ni3 at its relaxed geometry.

Cell: 5.0757 7.9299 7.9580 Å, 119.88 90.00 90.00°
Fractional coordinates of all 12 atoms:
Pr 0.2500 0.4943 0.6607
Ni 0.5000 0.8357 0.6713
Ni 0.5000 0.5000 0.0000
Pr 0.7500 0.1664 0.6607
Ni 0.5000 0.1643 0.3287
La 0.7500 0.8267 0.0000
Ni 0.0000 0.8357 0.6713
Ni 0.0000 0.5000 0.0000
Pr 0.7500 0.5057 0.3393
La 0.2500 0.1733 0.0000
Ni 0.0000 0.1643 0.3287
Pr 0.2500 0.8336 0.3393

Summary:
Its total energy is -66.8 eV per cell. As for the density: 7.14 g/cm³. The calculation puts the formation energy at -0.26 eV per atom. As for the magnetic moment: 0.00 μB per formula unit.

=====

# 3
Density functional theory data (GGA-PBE) for crystalline Pu2ZrTi at its relaxed geometry.

Cell: 3.6397 3.6397 6.7500 Å, 90.00 90.00 90.00°
Fractional coordinates of all 4 atoms:
Pu 0.0000 0.0000 0.7692
Pu 0.0000 0.0000 0.2308
Zr 0.5000 0.5000 0.5000
Ti 0.5000 0.5000 0.0000

Summary:
Its total energy is -44.0 eV per cell. As for the density: 11.64 g/cm³. The calculation puts the formation energy at 0.27 eV per atom. As for the magnetic moment: 11.44 μB per formula unit. The distance to the lowest polymorph of the same formula comes out at 0.0 meV/atom.

=====

# 4
Density functional theory data (GGA-PBE) for crystalline LiHo2Cr at its relaxed geometry.

Cell: 3.4795 3.4795 7.8582 Å, 90.00 90.00 90.00°
Fractional coordinates of all 4 atoms:
Ho 0.0000 0.0000 0.7832
Li 0.5000 0.5000 0.5000
Ho 0.0000 0.0000 0.2168
Cr 0.5000 0.5000 0.0000

Summary:
Its total energy is -19.9 eV per cell. As for the density: 6.79 g/cm³. The calculation puts the formation energy at 0.20 eV per atom. As for the magnetic moment: 2.53 μB per formula unit. The distance to the lowest polymorph of the same formula comes out at 35.0 meV/atom.

=====

# 5
Density functional theory data (GGA-PBE) for crystalline GaSi3Sb at its relaxed geometry.

Cell: 4.8010 4.8010 4.8010 Å, 90.00 90.00 90.00°
Fractional coordinates of all 5 atoms:
Sb 0.5000 0.5000 0.5000
Ga 0.0000 0.0000 0.0000
Si 0.0000 0.0000 0.5000
Si 0.5000 0.0000 0.0000
Si 0.0000 0.5000 0.0000

Summary:
Its total energy is -19.2 eV per cell. As for the density: 4.14 g/cm³. The formation energy without anion corrections comes out at 0.8528 eV/atom. As for the magnetic moment: 0.00 μB per formula unit. The distance to the lowest polymorph of the same formula comes out at 0.0 meV/atom.

=====

# 6
Density functional theory data (GGA-PBE) for crystalline HfZnOsPt2 at its relaxed geometry.

Cell: 4.8251 4.5807 4.8251 Å, 90.00 90.00 90.00°
Fractional coordinates of all 5 atoms:
Hf 0.5000 0.5000 0.5000
Pt 0.0000 0.0000 0.5000
Pt 0.5000 0.0000 0.0000
Os 0.0000 0.0000 0.0000
Zn 0.0000 0.5000 0.0000

Summary:
Its total energy is -30.1 eV per cell. As for the density: 12.83 g/cm³. The calculation puts the formation energy at 0.89 eV per atom. As for the magnetic moment: 0.00 μB per formula unit.

=====

# 7
Density functional theory data (GGA-PBE) for crystalline YCrP2 at its relaxed geometry.

Cell: 6.6739 6.6739 6.6739 Å, 152.41 150.01 41.20°
Fractional coordinates of all 4 atoms:
Y 0.4515 0.4515 0.0000
Cr 0.2042 0.7042 0.5000
P 0.7750 0.2750 0.5000
P 0.0693 0.0693 0.0000

Summary:
Its total energy is -29.3 eV per cell. As for the density: 4.91 g/cm³. The calculation puts the formation energy at -0.61 eV per atom. As for the magnetic moment: 1.01 μB per formula unit. The distance to the lowest polymorph of the same formula comes out at 301.4 meV/atom.

=====

# 8
Density functional theory data (GGA-PBE) for crystalline SmNpRu4 at its relaxed geometry.

Cell: 5.3415 5.3415 5.3415 Å, 60.00 60.00 60.00°
Fractional coordinates of all 6 atoms:
Np 0.2500 0.2500 0.2500
Ru 0.6247 0.6247 0.6247
Sm 0.0000 0.0000 0.0000
Ru 0.1258 0.6247 0.6247
Ru 0.6247 0.6247 0.1258
Ru 0.6247 0.1258 0.6247

Summary:
Its total energy is -55.2 eV per cell. As for the density: 12.20 g/cm³. The calculation puts the formation energy at -0.08 eV per atom. As for the magnetic moment: 2.81 μB per formula unit.

=====

no.,Fermi-level density of states (states/eV/f.u.)
1,10.022
2,5.319
3,10.382
4,2.758
5,2.478
6,8.135
7,2.217
8,10.895